Record 1
DFT (PBE-GGA) results for a relaxed structure of HfCuRe.

Cell lengths 3.378, 4.328, 6.782 Å; angles 90.00, 104.42, 90.00 degrees
Atoms (fractional coordinates):
Hf1 0.090 0.750 0.179
Hf2 0.910 0.250 0.821
Re1 0.410 0.750 0.820
Re2 0.590 0.250 0.180
Cu1 0.755 0.750 0.510
Cu2 0.245 0.250 0.490

## Properties
space group	Cmcm
ΔH_f (0 K)	-0.05	eV per atom
final energy	-26.650	eV/f.u.

Record 2
DFT (PBE-GGA) results for a relaxed structure of HfCuRe2.

Cell lengths 3.786, 3.786, 9.958 Å; angles 79.04, 79.04, 90.00 degrees
Atoms (fractional coordinates):
Hf1 0.750 0.250 0.500
Hf2 0.000 0.000 0.000
Re1 0.875 0.836 0.750
Re2 0.375 0.414 0.750
Re3 0.164 0.625 0.250
Re4 0.586 0.125 0.250
Cu1 0.250 0.750 0.500
Cu2 0.500 0.500 0.000

## Properties
space group	I-42d
ΔH_f (0 K)	0.50	eV per atom
final energy	-36.928	eV/f.u.

Record 3
DFT (PBE-GGA) results for a relaxed structure of Hf4CuRe3.

Cell lengths 3.297, 4.629, 9.206 Å; angles 90.00, 90.00, 90.00 degrees
Atoms (fractional coordinates):
Re1 0.500 0.000 0.756
Re2 0.500 0.000 0.244
Re3 0.500 0.500 0.500
Hf1 0.000 0.500 0.254
Hf2 0.000 0.500 0.746
Hf3 0.000 0.000 0.000
Hf4 0.000 0.000 0.500
Cu1 0.500 0.500 0.000

## Properties
space group	Pmmm
ΔH_f (0 K)	-0.30	eV per atom
final energy	-83.625	eV/f.u.